Arrangement i

Entry from Alexandria via LeMat-Bulk: a relaxed Ta2MnCo crystal (PBE-GGA).

a b c (Å): 3.116 4.230 8.885
angles (deg): 90.00 90.00 90.00
Space group Imm2 (No. 44)
Inequivalent atoms, fractional coordinates:
Ta  0.000  0.000  0.000 [2 per cell]
Ta  0.000  0.500  0.237 [2 per cell]
Mn  0.000  0.000  0.504 [2 per cell]
Co  0.000  0.500  0.749 [2 per cell]

size of the total moment	2.742	μB per cell

=====

Arrangement ii

Entry from Alexandria via LeMat-Bulk: a relaxed Ta2MnCo crystal (PBE-GGA).

a b c (Å): 2.8496 2.8496 26.4142
angles (deg): 90.00 90.00 120.00
Space group R3m (No. 160, hexagonal axes)
Inequivalent atoms, fractional coordinates:
Ta  0.0000  0.0000  0.0000 [3 per cell]
Ta  0.0000  0.0000  0.2356 [3 per cell]
Mn  0.0000  0.0000  0.4845 [3 per cell]
Co  0.0000  0.0000  0.7457 [3 per cell]

size of the total moment	11.348	μB per cell

=====

Arrangement iii

Entry from Alexandria via LeMat-Bulk: a relaxed Ta2MnCo crystal (PBE-GGA).

a b c (Å): 2.9909 2.9909 23.2701
angles (deg): 90.00 90.00 120.00
Space group R-3m (No. 166, hexagonal axes)
Inequivalent atoms, fractional coordinates:
Ta  0.0000  0.0000  0.2502 [6 per cell]
Mn  0.0000  0.0000  0.0000 [3 per cell]
Co  0.0000  0.0000  0.5000 [3 per cell]

size of the total moment	0.866	μB per cell

=====

Arrangement iv

Entry from Alexandria via LeMat-Bulk: a relaxed Ta2MnCo crystal (PBE-GGA).

a b c (Å): 3.124 3.124 6.141
angles (deg): 90.00 90.00 90.00
Space group P4mm (No. 99)
Inequivalent atoms, fractional coordinates:
Ta  0.000  0.000  0.000 [1 per cell]
Ta  0.500  0.500  0.299 [1 per cell]
Mn  0.500  0.500  0.762 [1 per cell]
Co  0.000  0.000  0.530 [1 per cell]

size of the total moment	3.211	μB per cell

=====

Which one sits at the bottom of the stability order? arrangement ii does.

=====

Arrangement i

Entry from Alexandria via LeMat-Bulk: a relaxed Ta2MnCo crystal (PBE-GGA).

a b c (Å): 6.168 6.168 6.168
angles (deg): 90.00 90.00 90.00
Space group F-43m (No. 216)
Inequivalent atoms, fractional coordinates:
Ta  0.000  0.000  0.000 [4 per cell]
Ta  0.250  0.250  0.250 [4 per cell]
Mn  0.000  0.000  0.500 [4 per cell]
Co  0.250  0.250  0.750 [4 per cell]

size of the total moment	7.754	μB per cell

=====

Arrangement ii

Entry from Alexandria via LeMat-Bulk: a relaxed Ta2MnCo crystal (PBE-GGA).

a b c (Å): 3.984 3.984 16.418
angles (deg): 90.00 90.00 90.00
Space group I-42d (No. 122)
Inequivalent atoms, fractional coordinates:
Ta  0.250  0.250  0.125 [8 per cell]
Mn  0.000  0.000  0.000 [4 per cell]
Co  0.000  0.000  0.500 [4 per cell]

size of the total moment	0.001	μB per cell

=====

Arrangement iii

Entry from Alexandria via LeMat-Bulk: a relaxed Ta2MnCo crystal (PBE-GGA).

a b c (Å): 4.342 4.342 3.066
angles (deg): 90.00 90.00 90.00
Space group P4/mmm (No. 123)
Inequivalent atoms, fractional coordinates:
Ta  0.000  0.500  0.000 [2 per cell]
Mn  0.000  0.000  0.500 [1 per cell]
Co  0.500  0.500  0.500 [1 per cell]

size of the total moment	1.547	μB per cell

=====

Which one sits at the bottom of the stability order? arrangement ii does.

=====

Arrangement i

Entry from Alexandria via LeMat-Bulk: a relaxed TbMnCo2 crystal (PBE-GGA).

a b c (Å): 6.234 6.234 6.234
angles (deg): 90.00 90.00 90.00
Space group Fm-3m (No. 225)
Inequivalent atoms, fractional coordinates:
Tb  0.000  0.000  0.000 [4 per cell]
Mn  0.000  0.000  0.500 [4 per cell]
Co  0.250  0.250  0.250 [8 per cell]

size of the total moment	19.431	μB per cell

=====

Arrangement ii

Entry from Alexandria via LeMat-Bulk: a relaxed TbMnCo2 crystal (PBE-GGA).

a b c (Å): 4.0148 4.0148 14.2330
angles (deg): 90.00 90.00 120.00
Space group R-3m (No. 166, hexagonal axes)
Inequivalent atoms, fractional coordinates:
Tb  0.0000  0.0000  0.0000 [3 per cell]
Mn  0.0000  0.0000  0.5000 [3 per cell]
Co  0.0000  0.0000  0.1955 [6 per cell]

size of the total moment	11.026	μB per cell

=====

Arrangement iii

Entry from Alexandria via LeMat-Bulk: a relaxed TbMnCo2 crystal (PBE-GGA).

a b c (Å): 3.093 3.093 6.305
angles (deg): 90.00 90.00 90.00
Space group P4/mmm (No. 123)
Inequivalent atoms, fractional coordinates:
Tb  0.000  0.000  0.000 [1 per cell]
Mn  0.000  0.000  0.500 [1 per cell]
Co  0.500  0.500  0.298 [2 per cell]

size of the total moment	4.467	μB per cell

=====

Which one sits at the bottom of the stability order? arrangement iii does.